Compound: CuAg4
Source: the Open Quantum Materials Database
Functional: PBE
Structure: optimized geometry

abc: 2.893 4.022 14.379
angles: 90.00 90.00 90.00
Fractional coordinates of all 10 atoms:
Ag (0.000, 0.000, 0.050)
Ag (0.000, 0.000, 0.241)
Ag (0.500, 0.500, 0.343)
Ag (0.000, 0.000, 0.448)
Ag (0.500, 0.500, 0.552)
Ag (0.000, 0.000, 0.657)
Ag (0.500, 0.500, 0.759)
Ag (0.500, 0.500, 0.950)
Cu (0.500, 0.500, 0.147)
Cu (0.000, 0.000, 0.853)

Energy of formation from the pure elements: 0.3 eV per formula unit
Offset from the most stable computed form: 33 meV/atom

Compound: TbDyCo2Ge4
Source: the Open Quantum Materials Database
Functional: PBE
Structure: optimized geometry

abc: 4.153 8.534 8.534
angles: 28.06 90.00 90.00
Fractional coordinates of all 8 atoms:
Co (0.500, 0.181, 0.181)
Co (0.000, 0.819, 0.819)
Dy (0.000, 0.609, 0.609)
Ge (0.500, 0.045, 0.045)
Ge (0.000, 0.249, 0.249)
Ge (0.500, 0.751, 0.751)
Ge (0.000, 0.955, 0.955)
Tb (0.500, 0.391, 0.391)

Total magnetization: 0.01 μB per cell
Calculated total energy: -5.88 eV/atom

Compound: PmAgPt
Source: the Open Quantum Materials Database
Functional: PBE
Structure: optimized geometry

abc: 4.798 4.798 4.798
angles: 60.00 60.00 60.00
Fractional coordinates of all 3 atoms:
Ag (0.250, 0.250, 0.250)
Pm (0.000, 0.000, 0.000)
Pt (0.750, 0.750, 0.750)

Energy of formation from the pure elements: -0.7 eV per formula unit
Offset from the most stable computed form: 386 meV/atom
Total magnetization: 0.00 μB per cell

Compound: KCdAsO4
Source: the Open Quantum Materials Database
Functional: PBE
Structure: optimized geometry

abc: 10.147 10.147 10.147
angles: 30.12 30.12 30.12
Fractional coordinates of all 14 atoms:
As (0.433, 0.433, 0.433)
As (0.567, 0.567, 0.567)
Cd (0.161, 0.161, 0.161)
Cd (0.839, 0.839, 0.839)
K (0.289, 0.289, 0.289)
K (0.711, 0.711, 0.711)
O (0.752, 0.473, 0.131)
O (0.527, 0.869, 0.248)
O (0.375, 0.375, 0.375)
O (0.131, 0.752, 0.473)
O (0.869, 0.248, 0.527)
O (0.625, 0.625, 0.625)
O (0.473, 0.131, 0.752)
O (0.248, 0.527, 0.869)

Calculated total energy: -5.22 eV/atom

Compound: BaZnAs2O7
Source: the Open Quantum Materials Database
Functional: PBE
Structure: optimized geometry

abc: 5.629 8.529 14.431
angles: 90.00 112.88 90.00
Fractional coordinates of all 44 atoms:
As (0.678, 0.315, 0.011)
As (0.905, 0.031, 0.154)
As (0.095, 0.531, 0.346)
As (0.322, 0.815, 0.489)
As (0.678, 0.185, 0.511)
As (0.905, 0.469, 0.654)
As (0.095, 0.969, 0.846)
As (0.322, 0.685, 0.989)
Ba (0.431, 0.346, 0.215)
Ba (0.569, 0.846, 0.285)
Ba (0.431, 0.154, 0.715)
Ba (0.569, 0.654, 0.785)
O (0.386, 0.351, 0.017)
O (0.740, 0.108, 0.030)
O (0.295, 0.659, 0.101)
O (0.913, 0.405, 0.111)
O (0.806, 0.842, 0.148)
O (0.223, 0.057, 0.185)
O (0.792, 0.123, 0.234)
O (0.208, 0.623, 0.266)
O (0.777, 0.557, 0.315)
O (0.194, 0.342, 0.352)
O (0.087, 0.905, 0.389)
O (0.705, 0.159, 0.399)
O (0.260, 0.608, 0.470)
O (0.614, 0.851, 0.483)
O (0.386, 0.149, 0.517)
O (0.740, 0.392, 0.530)
O (0.295, 0.841, 0.601)
O (0.913, 0.095, 0.611)
O (0.806, 0.658, 0.648)
O (0.223, 0.443, 0.685)
O (0.792, 0.377, 0.734)
O (0.208, 0.877, 0.766)
O (0.777, 0.943, 0.815)
O (0.194, 0.158, 0.852)
O (0.087, 0.595, 0.889)
O (0.705, 0.341, 0.899)
O (0.260, 0.892, 0.970)
O (0.614, 0.649, 0.983)
Zn (0.947, 0.646, 0.114)
Zn (0.053, 0.146, 0.386)
Zn (0.947, 0.854, 0.614)
Zn (0.053, 0.354, 0.886)

Calculated total energy: -5.98 eV/atom

Compound: LuTlFeCu
Source: the Open Quantum Materials Database
Functional: PBE
Structure: optimized geometry

abc: 4.672 4.672 4.672
angles: 60.00 60.00 60.00
Fractional coordinates of all 4 atoms:
Cu (0.750, 0.750, 0.750)
Fe (0.250, 0.250, 0.250)
Lu (0.500, 0.500, 0.500)
Tl (0.000, 0.000, 0.000)

Offset from the most stable computed form: 0 meV/atom
Total magnetization: 2.10 μB per cell

Compound: NdAl2ZnGa
Source: the Open Quantum Materials Database
Functional: PBE
Structure: optimized geometry

abc: 6.242 6.242 6.242
angles: 140.58 140.58 56.97
Fractional coordinates of all 5 atoms:
Al (0.752, 0.252, 0.500)
Al (0.252, 0.752, 0.500)
Ga (0.609, 0.609, 0.000)
Nd (0.001, 0.001, 0.000)
Zn (0.386, 0.386, 0.000)

Total magnetization: 0.01 μB per cell
Calculated total energy: -3.77 eV/atom

Compound: Pr2Cl
Source: the Open Quantum Materials Database
Functional: PBE
Structure: optimized geometry

abc: 6.613 6.613 6.613
angles: 60.00 60.00 60.00
Fractional coordinates of all 6 atoms:
Cl (0.000, 0.000, 0.000)
Cl (0.250, 0.250, 0.250)
Pr (0.625, 0.625, 0.125)
Pr (0.625, 0.125, 0.625)
Pr (0.125, 0.625, 0.625)
Pr (0.625, 0.625, 0.625)

Offset from the most stable computed form: 581 meV/atom
Total magnetization: 1.36 μB per cell

Repeat the seventh record exactly.
Compound: NdAl2ZnGa
Source: the Open Quantum Materials Database
Functional: PBE
Structure: optimized geometry

abc: 6.242 6.242 6.242
angles: 140.58 140.58 56.97
Fractional coordinates of all 5 atoms:
Al (0.752, 0.252, 0.500)
Al (0.252, 0.752, 0.500)
Ga (0.609, 0.609, 0.000)
Nd (0.001, 0.001, 0.000)
Zn (0.386, 0.386, 0.000)

Total magnetization: 0.01 μB per cell
Calculated total energy: -3.77 eV/atom